# Li3MgTe | Alexandria | PBE | relaxed
data_Li3MgTe
_cell_length_a 5.222
_cell_length_b 5.222
_cell_length_c 5.222
_cell_angle_alpha 90.00
_cell_angle_beta 90.00
_cell_angle_gamma 90.00
_space_group_name_H-M_alt 'P m -3 m'
_space_group_IT_number 221
_space_group_name_Hall '-P 4 2 3'
loop_
_atom_site_label
_atom_site_type_symbol
_atom_site_fract_x
_atom_site_fract_y
_atom_site_fract_z
_atom_site_occupancy
Li1 Li 0.000 0.000 0.500 1
Mg1 Mg 0.500 0.500 0.500 1
Te1 Te 0.000 0.000 0.000 1
# V = 28.478 Å³/atom
# crystal system = cubic
# ΔE_f (raw) = -0.28 eV/atom
# polymorph energy (0 for the lowest one) = 0.0000 eV per atom